Entry 1:
First-principles (PBE) data for a relaxed structure of La2Au3, as listed in Alexandria via LeMat-Bulk.

Geometry as CIF:
```
data_La2Au3
_cell_length_a 6.4756
_cell_length_b 6.4756
_cell_length_c 6.4756
_cell_angle_alpha 47.34
_cell_angle_beta 47.34
_cell_angle_gamma 47.34
_space_group_name_H-M_alt 'P 1'
_space_group_IT_number 1
loop_
_space_group_symop_operation_xyz
'x,y,z'
loop_
_atom_site_label
_atom_site_type_symbol
_atom_site_fract_x
_atom_site_fract_y
_atom_site_fract_z
La1 La 0.2545 0.2545 0.2545
La2 La 0.7455 0.7455 0.7455
Au1 Au 0.5000 0.5000 0.5000
Au2 Au 0.0812 0.0812 0.0812
Au3 Au 0.9188 0.9188 0.9188
```

Values from the calculation:
E above lowest polymorph ... 0.1167 eV/atom
Formation energy from the elements ... -695.8 meV per atom
Symmetry ... R-3m (166)

Entry 2:
First-principles (PBE) data for a relaxed structure of La4Au5, as listed in Alexandria via LeMat-Bulk.

Geometry as CIF:
```
data_La4Au5
_cell_length_a 7.3489
_cell_length_b 7.3489
_cell_length_c 7.3489
_cell_angle_alpha 96.75
_cell_angle_beta 96.75
_cell_angle_gamma 139.89
_space_group_name_H-M_alt 'P 1'
_space_group_IT_number 1
loop_
_space_group_symop_operation_xyz
'x,y,z'
loop_
_atom_site_label
_atom_site_type_symbol
_atom_site_fract_x
_atom_site_fract_y
_atom_site_fract_z
La1 La 0.0000 0.7007 0.7007
La2 La 0.2993 0.0000 0.2993
La3 La 0.7007 0.0000 0.7007
La4 La 0.0000 0.2993 0.2993
Au1 Au 0.3334 0.6666 0.0000
Au2 Au 0.3334 0.3334 0.6668
Au3 Au 0.0000 0.0000 0.0000
Au4 Au 0.6666 0.3334 0.0000
Au5 Au 0.6666 0.6666 0.3332
```

Values from the calculation:
E above lowest polymorph ... 0.1296 eV/atom
Formation energy from the elements ... -578.8 meV per atom
Symmetry ... I4/mmm (139)

Entry 3:
First-principles (PBE) data for a relaxed structure of La4Au, as listed in Alexandria via LeMat-Bulk.

Geometry as CIF:
```
data_La4Au
_cell_length_a 5.3284
_cell_length_b 6.8062
_cell_length_c 10.2242
_cell_angle_alpha 90.00
_cell_angle_beta 90.00
_cell_angle_gamma 113.07
_space_group_name_H-M_alt 'P 1'
_space_group_IT_number 1
loop_
_space_group_symop_operation_xyz
'x,y,z'
loop_
_atom_site_label
_atom_site_type_symbol
_atom_site_fract_x
_atom_site_fract_y
_atom_site_fract_z
La1 La 0.3961 0.2912 0.1358
La2 La 0.1094 0.7199 0.6135
La3 La 0.1039 0.7088 0.1358
La4 La 0.8906 0.2801 0.3865
La5 La 0.3906 0.2801 0.6135
La6 La 0.8961 0.2912 0.8642
La7 La 0.6039 0.7088 0.8642
La8 La 0.6093 0.7199 0.3865
Au1 Au 0.2500 0.0000 0.8736
Au2 Au 0.7500 0.0000 0.1264
```

Values from the calculation:
E above lowest polymorph ... 0.1097 eV/atom
Formation energy from the elements ... -200.2 meV per atom
Symmetry ... Cmme (67)

Entry 4:
First-principles (PBE) data for a relaxed structure of LaAu2, as listed in Alexandria via LeMat-Bulk.

Geometry as CIF:
```
data_LaAu2
_cell_length_a 4.4025
_cell_length_b 4.4025
_cell_length_c 16.1001
_cell_angle_alpha 97.86
_cell_angle_beta 97.86
_cell_angle_gamma 90.00
_space_group_name_H-M_alt 'P 1'
_space_group_IT_number 1
loop_
_space_group_symop_operation_xyz
'x,y,z'
loop_
_atom_site_label
_atom_site_type_symbol
_atom_site_fract_x
_atom_site_fract_y
_atom_site_fract_z
Au1 Au 0.0003 0.5003 0.0006
Au2 Au 0.6539 0.1539 0.3078
Au3 Au 0.8461 0.3461 0.6922
Au4 Au 0.4997 0.9997 0.9994
Au5 Au 0.2497 0.2497 0.4994
Au6 Au 0.4039 0.4039 0.8078
Au7 Au 0.7503 0.7503 0.5006
Au8 Au 0.5961 0.5961 0.1922
La1 La 0.3204 0.8204 0.6409
La2 La 0.0704 0.0704 0.1409
La3 La 0.9296 0.9296 0.8591
La4 La 0.1796 0.6796 0.3591
```

Values from the calculation:
Formation energy from the elements ... -613.3 meV per atom
Symmetry ... I4_1/amd (141)

Entry 5:
First-principles (PBE) data for a relaxed structure of La5Au4, as listed in Alexandria via LeMat-Bulk.

Geometry as CIF:
```
data_La5Au4
_cell_length_a 7.2112
_cell_length_b 7.2112
_cell_length_c 7.2112
_cell_angle_alpha 97.79
_cell_angle_beta 97.79
_cell_angle_gamma 136.79
_space_group_name_H-M_alt 'P 1'
_space_group_IT_number 1
loop_
_space_group_symop_operation_xyz
'x,y,z'
loop_
_atom_site_label
_atom_site_type_symbol
_atom_site_fract_x
_atom_site_fract_y
_atom_site_fract_z
Au1 Au 0.0000 0.3409 0.3409
Au2 Au 0.0000 0.6591 0.6591
Au3 Au 0.6591 0.0000 0.6591
Au4 Au 0.3409 0.0000 0.3409
La1 La 0.6720 0.3280 0.0000
La2 La 0.6720 0.6720 0.3439
La3 La 0.3280 0.6720 0.0000
La4 La 0.0000 0.0000 0.0000
La5 La 0.3280 0.3280 0.6561
```

Values from the calculation:
E above lowest polymorph ... 0.2949 eV/atom
Formation energy from the elements ... -371.0 meV per atom
Symmetry ... I4/mmm (139)

Entry 6:
First-principles (PBE) data for a relaxed structure of LaAu22, as listed in Alexandria via LeMat-Bulk.

Geometry as CIF:
```
data_LaAu22
_cell_length_a 10.8130
_cell_length_b 10.8130
_cell_length_c 10.8130
_cell_angle_alpha 60.00
_cell_angle_beta 60.00
_cell_angle_gamma 60.00
_space_group_name_H-M_alt 'P 1'
_space_group_IT_number 1
loop_
_space_group_symop_operation_xyz
'x,y,z'
loop_
_atom_site_label
_atom_site_type_symbol
_atom_site_fract_x
_atom_site_fract_y
_atom_site_fract_z
Au1 Au 0.2355 0.0145 0.5145
Au2 Au 0.0586 0.8206 0.8003
Au3 Au 0.6794 0.6997 0.6794
Au4 Au 0.7645 0.9855 0.4855
Au5 Au 0.0000 0.0000 0.5000
Au6 Au 0.5000 0.0000 0.5000
Au7 Au 0.7645 0.9855 0.7645
Au8 Au 0.6794 0.4414 0.6794
Au9 Au 0.3206 0.5586 0.8003
Au10 Au 0.5000 0.5000 0.5000
Au11 Au 0.5145 0.7355 0.5145
Au12 Au 0.3206 0.8206 0.0586
Au13 Au 0.4855 0.2645 0.7645
Au14 Au 0.4855 0.9855 0.7645
Au15 Au 0.6794 0.1794 0.9414
Au16 Au 0.5145 0.0145 0.2355
Au17 Au 0.6794 0.4414 0.1997
Au18 Au 0.3206 0.5586 0.3206
Au19 Au 0.0000 0.5000 0.0000
Au20 Au 0.2355 0.7355 0.5145
Au21 Au 0.0000 0.5000 0.5000
Au22 Au 0.6794 0.6997 0.9414
Au23 Au 0.4855 0.2645 0.4855
Au24 Au 0.5000 0.0000 0.0000
Au25 Au 0.7645 0.2645 0.4855
Au26 Au 0.1997 0.1794 0.9414
Au27 Au 0.1997 0.4414 0.6794
Au28 Au 0.0586 0.8206 0.3206
Au29 Au 0.3206 0.8206 0.8003
Au30 Au 0.8003 0.8206 0.0586
Au31 Au 0.3206 0.3003 0.0586
Au32 Au 0.8003 0.5586 0.3206
Au33 Au 0.0000 0.0000 0.0000
Au34 Au 0.1997 0.1794 0.6794
Au35 Au 0.8003 0.8206 0.3206
Au36 Au 0.3206 0.3003 0.3206
Au37 Au 0.9414 0.1794 0.6794
Au38 Au 0.2355 0.0145 0.2355
Au39 Au 0.0586 0.3003 0.3206
Au40 Au 0.9414 0.1794 0.1997
Au41 Au 0.6794 0.1794 0.1997
Au42 Au 0.5145 0.7355 0.2355
Au43 Au 0.9414 0.6997 0.6794
Au44 Au 0.5000 0.5000 0.0000
La1 La 0.1250 0.6250 0.1250
La2 La 0.8750 0.3750 0.8750
```

Values from the calculation:
Formation energy from the elements ... -48.1 meV per atom
Symmetry ... Fd-3m (227)

Entry 7:
First-principles (PBE) data for a relaxed structure of La4Au3, as listed in Alexandria via LeMat-Bulk.

Geometry as CIF:
```
data_La4Au3
_cell_length_a 5.2557
_cell_length_b 5.2557
_cell_length_c 9.3583
_cell_angle_alpha 73.69
_cell_angle_beta 73.69
_cell_angle_gamma 60.00
_space_group_name_H-M_alt 'P 1'
_space_group_IT_number 1
loop_
_space_group_symop_operation_xyz
'x,y,z'
loop_
_atom_site_label
_atom_site_type_symbol
_atom_site_fract_x
_atom_site_fract_y
_atom_site_fract_z
La1 La 0.1238 0.1238 0.6287
La2 La 0.6256 0.6256 0.1231
La3 La 0.8762 0.8762 0.3713
La4 La 0.3744 0.3744 0.8769
Au1 Au 0.0000 0.0000 0.0000
Au2 Au 0.7586 0.7586 0.7241
Au3 Au 0.2414 0.2414 0.2759
```

Values from the calculation:
E above lowest polymorph ... 0.0000 eV/atom
Formation energy from the elements ... -619.5 meV per atom
Symmetry ... R-3m (166)

Entry 8:
First-principles (PBE) data for a relaxed structure of LaAu, as listed in Alexandria via LeMat-Bulk.

Geometry as CIF:
```
data_LaAu
_cell_length_a 9.3703
_cell_length_b 9.3703
_cell_length_c 9.3703
_cell_angle_alpha 90.00
_cell_angle_beta 90.00
_cell_angle_gamma 90.00
_space_group_name_H-M_alt 'P 1'
_space_group_IT_number 1
loop_
_space_group_symop_operation_xyz
'x,y,z'
loop_
_atom_site_label
_atom_site_type_symbol
_atom_site_fract_x
_atom_site_fract_y
_atom_site_fract_z
Au1 Au 0.8361 0.8361 0.8361
Au2 Au 0.1639 0.8361 0.1639
Au3 Au 0.1639 0.1639 0.8361
Au4 Au 0.3361 0.6639 0.6639
Au5 Au 0.3361 0.3361 0.3361
Au6 Au 0.6639 0.3361 0.6639
Au7 Au 0.8361 0.1639 0.1639
Au8 Au 0.6639 0.6639 0.3361
La1 La 0.8475 0.8475 0.1525
La2 La 0.3475 0.6525 0.3475
La3 La 0.3475 0.3475 0.6525
La4 La 0.1525 0.8475 0.8475
La5 La 0.8475 0.1525 0.8475
La6 La 0.1525 0.1525 0.1525
La7 La 0.6525 0.6525 0.6525
La8 La 0.6525 0.3475 0.3475
```

Values from the calculation:
Formation energy from the elements ... -115.7 meV per atom
Symmetry ... I-43m (217)

Entry 9:
First-principles (PBE) data for a relaxed structure of LaAu, as listed in Alexandria via LeMat-Bulk.

Geometry as CIF:
```
data_LaAu
_cell_length_a 9.8718
_cell_length_b 9.8718
_cell_length_c 5.5019
_cell_angle_alpha 90.00
_cell_angle_beta 90.00
_cell_angle_gamma 90.00
_space_group_name_H-M_alt 'P 1'
_space_group_IT_number 1
loop_
_space_group_symop_operation_xyz
'x,y,z'
loop_
_atom_site_label
_atom_site_type_symbol
_atom_site_fract_x
_atom_site_fract_y
_atom_site_fract_z
La1 La 0.2480 0.1155 0.5000
La2 La 0.3845 0.7480 0.0000
La3 La 0.8845 0.2480 0.5000
La4 La 0.1155 0.7520 0.5000
La5 La 0.2520 0.3845 0.0000
La6 La 0.7520 0.8845 0.5000
La7 La 0.6155 0.2520 0.0000
La8 La 0.7480 0.6155 0.0000
Au1 Au 0.3639 0.0750 0.0000
Au2 Au 0.4250 0.8639 0.5000
Au3 Au 0.6361 0.9250 0.0000
Au4 Au 0.8639 0.5750 0.5000
Au5 Au 0.0750 0.6361 0.0000
Au6 Au 0.5750 0.1361 0.5000
Au7 Au 0.9250 0.3639 0.0000
Au8 Au 0.1361 0.4250 0.5000
```

Values from the calculation:
Formation energy from the elements ... -414.4 meV per atom
Symmetry ... I4/m (87)

Entry 10:
First-principles (PBE) data for a relaxed structure of La3Au, as listed in Alexandria via LeMat-Bulk.

Geometry as CIF:
```
data_La3Au
_cell_length_a 8.6971
_cell_length_b 4.8697
_cell_length_c 11.7574
_cell_angle_alpha 90.00
_cell_angle_beta 165.65
_cell_angle_gamma 90.00
_space_group_name_H-M_alt 'P 1'
_space_group_IT_number 1
loop_
_space_group_symop_operation_xyz
'x,y,z'
loop_
_atom_site_label
_atom_site_type_symbol
_atom_site_fract_x
_atom_site_fract_y
_atom_site_fract_z
La1 La 0.7812 0.5000 0.0032
La2 La 0.5000 0.0000 0.0000
La3 La 0.2188 0.5000 0.9968
Au1 Au 0.0000 0.0000 0.0000
```

Values from the calculation:
Formation energy from the elements ... -292.8 meV per atom
Symmetry ... P2/m (10)

Entry 11:
First-principles (PBE) data for a relaxed structure of La3Au, as listed in Alexandria via LeMat-Bulk.

Geometry as CIF:
```
data_La3Au
_cell_length_a 3.8247
_cell_length_b 3.7915
_cell_length_c 9.6446
_cell_angle_alpha 90.00
_cell_angle_beta 90.00
_cell_angle_gamma 90.00
_space_group_name_H-M_alt 'P 1'
_space_group_IT_number 1
loop_
_space_group_symop_operation_xyz
'x,y,z'
loop_
_atom_site_label
_atom_site_type_symbol
_atom_site_fract_x
_atom_site_fract_y
_atom_site_fract_z
La1 La 0.5000 0.0000 0.7347
La2 La 0.5000 0.5000 0.1452
La3 La 0.0000 0.5000 0.4635
Au1 Au 0.0000 0.0000 0.9900
```

Values from the calculation:
Formation energy from the elements ... -198.9 meV per atom
Symmetry ... Pmm2 (25)

Entry 12:
First-principles (PBE) data for a relaxed structure of La3Au, as listed in Alexandria via LeMat-Bulk.

Geometry as CIF:
```
data_La3Au
_cell_length_a 4.9470
_cell_length_b 4.9470
_cell_length_c 4.9470
_cell_angle_alpha 90.00
_cell_angle_beta 90.00
_cell_angle_gamma 90.00
_space_group_name_H-M_alt 'P 1'
_space_group_IT_number 1
loop_
_space_group_symop_operation_xyz
'x,y,z'
loop_
_atom_site_label
_atom_site_type_symbol
_atom_site_fract_x
_atom_site_fract_y
_atom_site_fract_z
La1 La 0.5000 0.5000 0.0000
La2 La 0.0000 0.5000 0.5000
La3 La 0.5000 0.0000 0.5000
Au1 Au 0.0000 0.0000 0.0000
```

Values from the calculation:
Formation energy from the elements ... -236.4 meV per atom
Symmetry ... Pm-3m (221)